1.
A plane-wave DFT calculation with PBE was carried out for a relaxed Er3SnBi2 crystal.

The value obtained for the magnetic moment is 0.00 μB/f.u. Its formation energy is -0.6959 eV per atom.

The space group is C2/c (No. 15) and the conventional cell measures 7.7369, 13.3313 and 7.5368 Å, with angles of 90.00, 109.74 and 90.00 degrees. The asymmetric unit holds Er at (0.2435, 0.0818, 0.4961), Er at (0.2500, 0.2500, 0.0000), Sn at (0.0000, 0.0856, 0.7500), Bi at (0.0000, 0.2531, 0.2500) and Bi at (0.0000, 0.4173, 0.7500).

***

2.
A plane-wave DFT calculation with PBE was carried out for a relaxed Er2SnBi crystal.

The energy above the most stable polymorph in this dataset is 87 meV/atom. The value obtained for the magnetic moment is 0.00 μB/f.u. Its formation energy is -0.6460 eV per atom.

The space group is R-3m (No. 166, hexagonal axes) and the conventional cell measures 4.2632, 4.2632 and 22.9627 Å, with angles of 90.00, 90.00 and 120.00 degrees. The asymmetric unit holds Er at (0.0000, 0.0000, 0.2500), Sn at (0.0000, 0.0000, 0.0000) and Bi at (0.0000, 0.0000, 0.5000).

***

3.
A plane-wave DFT calculation with PBE was carried out for a relaxed Er3SnBi crystal.

The value obtained for the magnetic moment is 0.00 μB/f.u. Its formation energy is -0.3758 eV per atom.

The space group is C2/c (No. 15) and the conventional cell measures 14.4787, 7.7187 and 12.0307 Å, with angles of 90.00, 108.83 and 90.00 degrees. The asymmetric unit holds Er at (0.0379, 0.2322, 0.0181), Er at (0.1224, 0.0793, 0.7751), Er at (0.1934, 0.4177, 0.3629), Sn at (0.0000, 0.2498, 0.2500), Sn at (0.2500, 0.2500, 0.0000) and Bi at (0.1646, 0.4031, 0.6146).

***

4.
A plane-wave DFT calculation with PBE was carried out for a relaxed ErSnBi crystal.

The energy above the most stable polymorph in this dataset is 288 meV/atom. The value obtained for the magnetic moment is 0.00 μB/f.u. Its formation energy is -0.2506 eV per atom.

The space group is P3m1 (No. 156) and the conventional cell measures 5.4756, 5.4756 and 3.3096 Å, with angles of 90.00, 90.00 and 120.00 degrees. The asymmetric unit holds Er at (0.0000, 0.0000, 0.0000), Sn at (0.6667, 0.3333, 0.4980) and Bi at (0.3333, 0.6667, 0.5008).

***

5.
A plane-wave DFT calculation with PBE was carried out for a relaxed Er6SnBi5 crystal.

The value obtained for the magnetic moment is 0.00 μB/f.u. Its formation energy is -0.7593 eV per atom.

The space group is C2/m (No. 12) and the conventional cell measures 7.6667, 13.2827 and 7.7052 Å, with angles of 90.00, 109.37 and 90.00 degrees. The asymmetric unit holds Er at (0.2443, 0.0000, 0.2515), Er at (0.2455, 0.1639, 0.7456), Sn at (0.0000, 0.0000, 0.5000), Bi at (0.0000, 0.1696, 0.0000), Bi at (0.0000, 0.3341, 0.5000) and Bi at (0.0000, 0.5000, 0.0000).

***

6.
A plane-wave DFT calculation with PBE was carried out for a relaxed Er4SnBi crystal.

The value obtained for the magnetic moment is 0.00 μB/f.u. Its formation energy is -0.2789 eV per atom.

The space group is C2/c (No. 15) and the conventional cell measures 16.4879, 6.1515 and 7.5464 Å, with angles of 90.00, 101.93 and 90.00 degrees. The asymmetric unit holds Er at (0.0722, 0.1202, 0.4382), Er at (0.1550, 0.3677, 0.1187), Sn at (0.2500, 0.2500, 0.5000) and Bi at (0.0000, 0.3732, 0.7500).